Entry 1:
# LaVAu3

An optimized crystal structure of LaVAu3 (PBE, Alexandria).

Geometry as CIF:
```
data_LaVAu3
_cell_length_a 5.524
_cell_length_b 5.524
_cell_length_c 5.524
_cell_angle_alpha 90.00
_cell_angle_beta 90.00
_cell_angle_gamma 90.00
_space_group_name_H-M_alt 'P m -3 m'
_space_group_IT_number 221
_space_group_name_Hall '-P 4 2 3'
loop_
_atom_site_label
_atom_site_fract_x
_atom_site_fract_y
_atom_site_fract_z
La1 0.000 0.000 0.000
V1 0.500 0.500 0.500
Au1 0.000 0.000 0.500
```

The density comes out at 7.69 g/cm3. Its formation energy is 857.1 meV/atom. For the distance to the lowest polymorph of the same formula, the calculation gives 896 meV per atom.

Entry 2:
# Ce2CdGe4Au3

An optimized crystal structure of Ce2CdGe4Au3 (PBE, Alexandria).

Geometry as CIF:
```
data_Ce2CdGe4Au3
_cell_length_a 4.427
_cell_length_b 4.427
_cell_length_c 10.979
_cell_angle_alpha 90.00
_cell_angle_beta 90.00
_cell_angle_gamma 90.00
_space_group_name_H-M_alt 'P -4 m 2'
_space_group_IT_number 115
_space_group_name_Hall 'P -4 -2'
loop_
_atom_site_label
_atom_site_fract_x
_atom_site_fract_y
_atom_site_fract_z
Ce1 0.000 0.500 0.247
Cd1 0.000 0.000 0.500
Ge1 0.000 0.000 0.000
Ge2 0.000 0.500 0.643
Ge3 0.500 0.500 0.000
Au1 0.000 0.500 0.870
Au2 0.500 0.500 0.500
```

The density comes out at 9.83 g/cm3. Its formation energy is -444.9 meV/atom.

Entry 3:
# Tl2CdP

An optimized crystal structure of Tl2CdP (PBE, Alexandria).

Geometry as CIF:
```
data_Tl2CdP
_cell_length_a 7.439
_cell_length_b 7.439
_cell_length_c 7.439
_cell_angle_alpha 90.00
_cell_angle_beta 90.00
_cell_angle_gamma 90.00
_space_group_name_H-M_alt 'F m -3 m'
_space_group_IT_number 225
_space_group_name_Hall '-F 4 2 3'
loop_
_atom_site_label
_atom_site_fract_x
_atom_site_fract_y
_atom_site_fract_z
Tl1 0.250 0.250 0.250
Cd1 0.000 0.000 0.000
P1 0.000 0.000 0.500
```

The density comes out at 8.91 g/cm3. Its formation energy is 267.1 meV/atom. For the distance to the lowest polymorph of the same formula, the calculation gives 187 meV per atom.

Entry 4:
# Mg14ZrAl

An optimized crystal structure of Mg14ZrAl (PBE, Alexandria).

Geometry as CIF:
```
data_Mg14ZrAl
_cell_length_a 6.3710
_cell_length_b 6.3710
_cell_length_c 10.1484
_cell_angle_alpha 90.00
_cell_angle_beta 90.00
_cell_angle_gamma 120.00
_space_group_name_H-M_alt 'P -6 m 2'
_space_group_IT_number 187
_space_group_name_Hall 'P -6 2'
loop_
_atom_site_label
_atom_site_fract_x
_atom_site_fract_y
_atom_site_fract_z
Mg1 0.0000 0.0000 0.2420
Mg2 0.0104 0.5052 0.2519
Mg3 0.3298 0.1649 0.5000
Mg4 0.3417 0.1709 0.0000
Zr1 0.3333 0.6667 0.0000
Al1 0.3333 0.6667 0.5000
```

The density comes out at 2.13 g/cm3. Its formation energy is 18.0 meV/atom. For the distance to the lowest polymorph of the same formula, the calculation gives 24 meV per atom.

Entry 5:
# GdNiB4

An optimized crystal structure of GdNiB4 (PBE, Alexandria).

Geometry as CIF:
```
data_GdNiB4
_cell_length_a 7.581
_cell_length_b 7.581
_cell_length_c 8.550
_cell_angle_alpha 90.00
_cell_angle_beta 90.00
_cell_angle_gamma 90.00
_space_group_name_H-M_alt 'I 4/m m m'
_space_group_IT_number 139
_space_group_name_Hall '-I 4 2'
loop_
_atom_site_label
_atom_site_fract_x
_atom_site_fract_y
_atom_site_fract_z
Gd1 0.000 0.000 0.203
Gd2 0.000 0.500 0.250
Ni1 0.000 0.229 0.500
B1 0.112 0.276 0.000
B2 0.234 0.234 0.348
```

The density comes out at 7.01 g/cm3. Its formation energy is -570.2 meV/atom.